A plane-wave DFT calculation with PBE-GGA was carried out for a geometry-optimized BaYSb2 structure.

Lattice parameters (Å, degrees): 3.893 3.893 8.625 90.00 90.00 97.45
Positions (direct):
Sb 0.000 0.000 0.466
Sb 0.000 0.000 0.034
Ba 0.500 0.500 0.750
Y 0.500 0.500 0.250

Properties
- Raw formation energy: -3.43 eV per formula unit
- Volume: 129.6 Å³ per cell
- Crystal system: orthorhombic